Compound: CrTcNF2
Source: Alexandria
Functional: PBE+U
Structure: optimized geometry

Calculated values
Relative energy among the computed polymorphs = 0 meV per atom
Size of the total moment = 5.64 μB per cell
Crystal system = tetragonal
Calculated total energy = -6.579 eV/atom

Lattice parameters (Å, degrees): 4.2302 4.2302 3.8034 90.00 90.00 90.00
Last column: magnetic moment on the atom in μB.
Fractional positions:
F: 0.5000 0.0000 0.0000  0.04
F: 0.0000 0.5000 0.0000  0.04
N: 0.0000 0.0000 0.5000  -0.05
Cr: 0.5000 0.5000 0.5000  4.55
Tc: 0.0000 0.0000 0.0000  0.63